(1)
## HoCuPbAu (GGA-PBE)

Data for a relaxed HoCuPbAu crystal.

Values from the calculation:
Total magnetic moment: 0.00 μB/cell
Symmetry: No. 216
Energy of formation from the pure elements: -0.36 eV per atom

a b c (Å): 4.938 4.938 4.938
angles (deg): 60.00 60.00 60.00
Element x y z (fractional)
Ho 0.000 0.000 0.000
Cu 0.750 0.750 0.750
Pb 0.500 0.500 0.500
Au 0.250 0.250 0.250

***

(2)
## BaSi3 (GGA-PBE)

Data for a relaxed BaSi3 crystal.

Values from the calculation:
E_form (uncorrected): 8.65 eV/f.u.
Total magnetic moment: 0.00 μB/cell
Symmetry: No. 221

a b c (Å): 5.971 5.971 5.971
angles (deg): 90.00 90.00 90.00
Element x y z (fractional)
Ba 0.000 0.000 0.000
Si 0.000 0.000 0.500
Si 0.000 0.500 0.000
Si 0.500 0.000 0.000

***

(3)
## La9Er4Hg11 (GGA-PBE)

Data for a relaxed La9Er4Hg11 crystal.

Values from the calculation:
Total magnetic moment: 2.83 μB/cell
Symmetry: No. 65
Energy of formation from the pure elements: -0.41 eV per atom

a b c (Å): 14.341 14.341 3.595
angles (deg): 90.00 90.00 112.07
Element x y z (fractional)
La 0.000 0.000 0.000
La 0.136 0.645 0.000
La 0.290 0.449 0.000
La 0.355 0.864 0.000
La 0.449 0.290 0.000
La 0.551 0.710 0.000
La 0.645 0.136 0.000
La 0.710 0.551 0.000
La 0.864 0.355 0.000
Er 0.051 0.247 0.000
Er 0.247 0.051 0.000
Er 0.753 0.949 0.000
Er 0.949 0.753 0.000
Hg 0.082 0.437 0.500
Hg 0.136 0.864 0.500
Hg 0.212 0.212 0.500
Hg 0.340 0.660 0.500
Hg 0.437 0.082 0.500
Hg 0.500 0.500 0.500
Hg 0.563 0.918 0.500
Hg 0.660 0.340 0.500
Hg 0.788 0.788 0.500
Hg 0.864 0.136 0.500
Hg 0.918 0.563 0.500

***

(4)
## MgZr3Hg4 (GGA-PBE)

Data for a relaxed MgZr3Hg4 crystal.

Values from the calculation:
Total magnetic moment: 0.03 μB/cell
Symmetry: No. 123
Energy of formation from the pure elements: -0.19 eV per atom

a b c (Å): 3.242 3.242 16.236
angles (deg): 90.00 90.00 90.00
Element x y z (fractional)
Mg 0.000 0.000 0.000
Zr 0.000 0.000 0.244
Zr 0.000 0.000 0.500
Zr 0.000 0.000 0.756
Hg 0.500 0.500 0.117
Hg 0.500 0.500 0.372
Hg 0.500 0.500 0.628
Hg 0.500 0.500 0.883

***

Which formula does entry 1 have?
HoCuPbAu

***

Which value of total magnetic moment does entry 3 give?
2.83 μB/cell

***

total magnetic moment of number 4 (MgZr3Hg4)?
0.03 μB/cell